Material: RhCS2Cl
Method: DFT, PBE-GGA
State: optimized geometry

Cell: 4.107 4.107 4.214 Å, 90.00 90.00 90.00°
Each line ends with the local moment (μB).
Atoms (fractional coordinates):
S 0.000 0.500 0.000  0.01
S 0.500 0.000 0.000  0.01
Rh 0.500 0.500 0.500  0.24
C 0.000 0.000 0.000  0.00
Cl 0.000 0.000 0.500  0.04

Values from the calculation:
ΔE to the lowest computed polymorph	0.0	meV per atom
formation energy (no corrections)	7.003	eV/f.u.
crystal system	tetragonal


Material: Tb2Pr3Sm3
Method: DFT, PBE-GGA
State: optimized geometry

Cell: 5.847 6.089 8.813 Å, 109.92 109.37 90.00°
Atoms (fractional coordinates):
Tb 0.750 0.682 0.499
Tb 0.250 0.318 0.501
Pr 0.865 0.308 0.730
Pr 0.135 0.692 0.270
Pr 0.000 0.000 0.000
Sm 0.367 0.920 0.733
Sm 0.500 0.500 0.000
Sm 0.633 0.080 0.267

Values from the calculation:
ΔE to the lowest computed polymorph	46.8	meV per atom
formation enthalpy at 0 K	77	meV per atom
crystal system	monoclinic


Material: Al2CdMo
Method: DFT, PBE-GGA
State: optimized geometry

Cell: 9.465 9.465 9.465 Å, 17.92 17.92 17.92°
Each line ends with the local moment (μB).
Atoms (fractional coordinates):
Mo 0.750 0.750 0.750  0.27
Al 0.007 0.007 0.007  0.01
Al 0.493 0.493 0.493  0.01
Cd 0.250 0.250 0.250  0.01

Values from the calculation:
formation enthalpy at 0 K	96	meV per atom
crystal system	trigonal


Material: Ce2GeHRh6
Method: DFT, PBE-GGA
State: optimized geometry

Cell: 5.653 6.759 8.461 Å, 90.00 90.00 90.00°
Atoms (fractional coordinates):
Ce 0.500 0.726 0.272
Ce 0.000 0.274 0.772
Ce 0.500 0.726 0.728
Ce 0.000 0.274 0.228
Ge 0.000 0.682 0.500
Ge 0.500 0.318 0.000
H 0.500 0.188 0.500
H 0.000 0.812 0.000
Rh 0.500 0.169 0.265
Rh 0.500 0.169 0.735
Rh 0.000 0.831 0.235
Rh 0.000 0.831 0.765
Rh 0.245 0.990 0.500
Rh 0.755 0.990 0.500
Rh 0.261 0.400 0.500
Rh 0.739 0.400 0.500
Rh 0.761 0.600 0.000
Rh 0.239 0.600 0.000
Rh 0.255 0.010 0.000
Rh 0.745 0.010 0.000

Values from the calculation:
crystal system	orthorhombic
DFT total energy	-7.005	eV/atom


Material: HgW5
Method: DFT, PBE-GGA
State: optimized geometry

Cell: 5.541 5.541 5.541 Å, 53.50 53.50 53.50°
Atoms (fractional coordinates):
Hg 0.000 0.000 0.000
W 0.354 0.354 0.354
W 0.646 0.646 0.646
W 0.841 0.159 0.500
W 0.159 0.500 0.841
W 0.500 0.841 0.159

Values from the calculation:
ΔE to the lowest computed polymorph	37.5	meV per atom
formation enthalpy at 0 K	626	meV per atom
crystal system	trigonal


Material: PmNd3Er2Tm6
Method: DFT, PBE-GGA
State: optimized geometry

Cell: 6.162 6.162 11.700 Å, 95.02 95.02 119.98°
Atoms (fractional coordinates):
Pm 0.000 0.000 0.000
Nd 0.167 0.833 0.500
Nd 0.833 0.167 0.500
Nd 0.500 0.500 0.500
Er 0.333 0.667 0.000
Er 0.667 0.333 0.000
Tm 0.917 0.584 0.753
Tm 0.749 0.749 0.247
Tm 0.083 0.416 0.247
Tm 0.584 0.917 0.753
Tm 0.251 0.251 0.753
Tm 0.416 0.083 0.247

Values from the calculation:
formation enthalpy at 0 K	22	meV per atom
crystal system	monoclinic


Material: Sc2BSb
Method: DFT, PBE-GGA
State: optimized geometry

Cell: 4.759 4.759 4.759 Å, 60.00 60.00 60.00°
Atoms (fractional coordinates):
Sc 0.250 0.250 0.250
Sc 0.750 0.750 0.750
Sb 0.500 0.500 0.500
B 0.000 0.000 0.000

Values from the calculation:
ΔE to the lowest computed polymorph	279.8	meV per atom
formation energy (no corrections)	0.339	eV/f.u.
crystal system	cubic


Material: Pm2TmGa3Ir4
Method: DFT, PBE-GGA
State: optimized geometry

Cell: 4.250 4.250 11.044 Å, 90.00 90.00 90.00°
Atoms (fractional coordinates):
Pm 0.500 0.000 0.223
Pm 0.000 0.500 0.777
Tm 0.500 0.500 0.500
Ga 0.000 0.000 0.500
Ga 0.500 0.000 0.881
Ga 0.000 0.500 0.119
Ir 0.500 0.500 0.000
Ir 0.000 0.000 0.000
Ir 0.500 0.000 0.654
Ir 0.000 0.500 0.346

Values from the calculation:
formation enthalpy at 0 K	-727	meV per atom
crystal system	tetragonal


| no. | theoretical density (g cm⁻³) | DOS at the Fermi energy (states/eV per atom) | spin magnetization (μB/f.u.) |
| --- | --- | --- | --- |
| 1 | 5.0 | 1.2126 | 0.3 |
| 2 | 7.2 | 1.6333 | 0.0 |
| 3 | 6.2 | 1.0606 | 0.4 |
| 4 | 10.0 | 0.8534 | 0.0 |
| 5 | 18.2 | 0.7346 | 0.0 |
| 6 | 8.4 | 1.2472 | 0.0 |
| 7 | 4.8 | 1.6225 | 0.0 |
| 8 | 12.0 | 0.5387 | 0.0 |